Record 1
Here is KFe2S3 after structural relaxation from the Open Quantum Materials Database. Energies are from PBE.

Lattice parameters (Å, degrees): 7.810 3.470 8.904 90.00 115.18 90.00
Space group P2_1/m (No. 11)
Symmetry-distinct sites (fractional):
K 0.009 0.250 0.261 [2 per cell]
Fe 0.467 0.250 0.160 [2 per cell]
Fe 0.481 0.750 0.391 [2 per cell]
S 0.266 0.750 0.143 [2 per cell]
S 0.340 0.750 0.560 [2 per cell]
S 0.357 0.250 0.875 [2 per cell]

Values from the calculation:
The calculation puts the volume at 18.20 A^3/atom. As for the uncorrected energy: -5.64 eV/atom.


Record 2
Here is TbLuZnTe3 after structural relaxation from the Open Quantum Materials Database. Energies are from PBE.

Lattice parameters (Å, degrees): 4.118 14.944 10.488 90.00 90.00 90.00
Space group Cmcm (No. 63)
Symmetry-distinct sites (fractional):
Tb 0.000 0.223 0.250 [4 per cell]
Lu 0.000 0.000 0.000 [4 per cell]
Zn 0.000 0.476 0.750 [4 per cell]
Te 0.000 0.115 0.750 [4 per cell]
Te 0.000 0.350 0.547 [8 per cell]

Values from the calculation:
The calculation puts the volume at 26.89 A^3/atom. As for the uncorrected energy: -4.21 eV/atom.


Record 3
Here is FeSi29Ge2 after structural relaxation from the Open Quantum Materials Database. Energies are from PBE.

Lattice parameters (Å, degrees): 8.638 9.460 9.465 70.52 68.55 68.58
Space group P1 (No. 1)
Symmetry-distinct sites (fractional):
Fe 0.000 0.000 0.000 [1 per cell]
Si 0.000 0.501 0.494 [1 per cell]
Si 0.001 0.249 0.243 [1 per cell]
Si 0.001 0.500 0.244 [1 per cell]
Si 0.002 0.751 0.494 [1 per cell]
Si 0.240 0.821 0.054 [1 per cell]
Si 0.248 0.311 0.809 [1 per cell]
Si 0.249 0.565 0.057 [1 per cell]
Si 0.250 0.561 0.808 [1 per cell]
Si 0.250 0.813 0.305 [1 per cell]
Si 0.251 0.318 0.557 [1 per cell]
Si 0.252 0.062 0.302 [1 per cell]
Si 0.499 0.125 0.869 [1 per cell]
Si 0.499 0.376 0.119 [1 per cell]
Si 0.499 0.875 0.871 [1 per cell]
Si 0.500 0.625 0.619 [1 per cell]
Si 0.502 0.377 0.368 [1 per cell]
Si 0.502 0.627 0.367 [1 per cell]
Si 0.503 0.125 0.117 [1 per cell]
Si 0.506 0.872 0.620 [1 per cell]
Si 0.746 0.191 0.682 [1 per cell]
Si 0.749 0.685 0.934 [1 per cell]
Si 0.750 0.435 0.933 [1 per cell]
Si 0.750 0.438 0.682 [1 per cell]
Si 0.751 0.188 0.432 [1 per cell]
Si 0.753 0.690 0.180 [1 per cell]
Si 0.753 0.938 0.430 [1 per cell]
Si 0.761 0.941 0.175 [1 per cell]
Si 0.999 0.240 0.995 [1 per cell]
Si 0.999 0.745 0.746 [1 per cell]
Ge 0.255 0.064 0.555 [1 per cell]
Ge 0.996 0.999 0.759 [1 per cell]

Values from the calculation:
The calculation puts the volume at 20.38 A^3/atom. As for the uncorrected energy: -5.40 eV/atom.


Record 4
Here is NbCuTeW after structural relaxation from the Open Quantum Materials Database. Energies are from PBE.

Lattice parameters (Å, degrees): 6.457 6.457 6.457 90.00 90.00 90.00
Space group F-43m (No. 216)
Symmetry-distinct sites (fractional):
Nb 0.000 0.000 0.000 [4 per cell]
Cu 0.250 0.250 0.750 [4 per cell]
Te 0.250 0.250 0.250 [4 per cell]
W 0.000 0.000 0.500 [4 per cell]

Values from the calculation:
The calculation puts the volume at 16.83 A^3/atom. The calculation puts the distance to the lowest polymorph of the same formula at 0.000 eV/atom.


Record 5
Here is PrHfAl after structural relaxation from the Open Quantum Materials Database. Energies are from PBE.

Lattice parameters (Å, degrees): 6.979 6.979 6.979 90.00 90.00 90.00
Space group F-43m (No. 216)
Symmetry-distinct sites (fractional):
Pr 0.000 0.000 0.000 [4 per cell]
Hf 0.250 0.250 0.750 [4 per cell]
Al 0.000 0.000 0.500 [4 per cell]

Values from the calculation:
The calculation puts the volume at 28.32 A^3/atom. The calculation puts the distance to the lowest polymorph of the same formula at 0.000 eV/atom.


Record 6
Here is SmZnIr after structural relaxation from the Open Quantum Materials Database. Energies are from PBE.

Lattice parameters (Å, degrees): 6.622 6.622 6.622 90.00 90.00 90.00
Space group F-43m (No. 216)
Symmetry-distinct sites (fractional):
Sm 0.000 0.000 0.000 [4 per cell]
Zn 0.250 0.250 0.250 [4 per cell]
Ir 0.250 0.250 0.750 [4 per cell]

Values from the calculation:
The calculation puts the volume at 24.20 A^3/atom. The energy of formation is 0.184 eV per atom.


The records above give, respectively, size of the total moment values of 0.70, 0.03, 0.01, 0.00, 7.11, 0.01 Bohr magnetons per cell.